<a>
# YP2ClO | Alexandria via LeMat-Bulk | PBE | relaxed
data_YP2ClO
_cell_length_a 5.5540
_cell_length_b 5.5540
_cell_length_c 4.2219
_cell_angle_alpha 90.00
_cell_angle_beta 90.00
_cell_angle_gamma 90.00
_symmetry_space_group_name_H-M 'P 4/m m m'
_symmetry_Int_Tables_number 123
_symmetry_space_group_name_Hall '-P 4 2'
loop_
_atom_site_label
_atom_site_type_symbol
_atom_site_fract_x
_atom_site_fract_y
_atom_site_fract_z
Y1 Y 0.0000 0.0000 0.0000
P1 P 0.0000 0.5000 0.0000
Cl1 Cl 0.5000 0.5000 0.5000
O1 O 0.0000 0.0000 0.5000
# Total moment, μB/f.u.: 1.4

=====

<b>
# YP2ClO | Alexandria via LeMat-Bulk | PBE | relaxed
data_YP2ClO
_cell_length_a 5.5163
_cell_length_b 5.5163
_cell_length_c 5.2347
_cell_angle_alpha 90.00
_cell_angle_beta 90.00
_cell_angle_gamma 90.00
_symmetry_space_group_name_H-M 'P 4/m m m'
_symmetry_Int_Tables_number 123
_symmetry_space_group_name_Hall '-P 4 2'
loop_
_atom_site_label
_atom_site_type_symbol
_atom_site_fract_x
_atom_site_fract_y
_atom_site_fract_z
Y1 Y 0.0000 0.0000 0.0000
P1 P 0.0000 0.5000 0.0000
Cl1 Cl 0.0000 0.0000 0.5000
O1 O 0.5000 0.5000 0.5000
# Total moment, μB/f.u.: 0.5

=====

<c>
# YP2ClO | Alexandria via LeMat-Bulk | PBE | relaxed
data_YP2ClO
_cell_length_a 3.9333
_cell_length_b 3.9333
_cell_length_c 5.4588
_cell_angle_alpha 90.00
_cell_angle_beta 90.00
_cell_angle_gamma 90.00
_symmetry_space_group_name_H-M 'P 4/m m m'
_symmetry_Int_Tables_number 123
_symmetry_space_group_name_Hall '-P 4 2'
loop_
_atom_site_label
_atom_site_type_symbol
_atom_site_fract_x
_atom_site_fract_y
_atom_site_fract_z
Y1 Y 0.0000 0.0000 0.0000
P1 P 0.0000 0.5000 0.5000
Cl1 Cl 0.5000 0.5000 0.0000
O1 O 0.5000 0.5000 0.5000
# Total moment, μB/f.u.: 0.0

=====

The structure with the greatest stability is <c>.